The following is a DFT calculation (GGA-PBE) of a geometry-optimized EuHo2Rh structure.

Summary:
DFT formation energy = -0.411 eV/atom
DFT total energy = -7.106 eV per atom
D(E_F) = 0.83 states/eV per atom
space-group type = No. 123
total magnetization = 7.598 μB/f.u.

abc: 3.498 3.498 9.134
angles: 90.00 90.00 90.00
Positions (direct):
Eu 0.000 0.000 0.000
Ho 0.500 0.500 0.325
Ho 0.500 0.500 0.675
Rh 0.000 0.000 0.500



The following is a DFT calculation (GGA-PBE) of a geometry-optimized EuHo3Rh structure.

Summary:
DFT formation energy = -0.312 eV/atom
DFT total energy = -6.584 eV per atom
D(E_F) = 1.11 states/eV per atom
space-group type = No. 221
total magnetization = 7.592 μB/f.u.

abc: 5.443 5.443 5.443
angles: 90.00 90.00 90.00
Positions (direct):
Eu 0.000 0.000 0.000
Ho 0.000 0.500 0.500
Ho 0.500 0.000 0.500
Ho 0.500 0.500 0.000
Rh 0.500 0.500 0.500



The following is a DFT calculation (GGA-PBE) of a geometry-optimized EuHoRuRh structure.

Summary:
DFT formation energy = -0.283 eV/atom
DFT total energy = -8.153 eV per atom
D(E_F) = 2.14 states/eV per atom
space-group type = No. 216
total magnetization = 6.408 μB/f.u.

abc: 4.862 4.862 4.862
angles: 60.00 60.00 60.00
Positions (direct):
Eu 0.000 0.000 0.000
Ho 0.500 0.500 0.500
Ru 0.250 0.250 0.250
Rh 0.750 0.750 0.750



The following is a DFT calculation (GGA-PBE) of a geometry-optimized EuHoTlRh structure.

Summary:
DFT formation energy = -0.366 eV/atom
DFT total energy = -6.509 eV per atom
D(E_F) = 2.15 states/eV per atom
space-group type = No. 216
total magnetization = 6.948 μB/f.u.

abc: 5.176 5.176 5.176
angles: 60.00 60.00 60.00
Positions (direct):
Eu 0.000 0.000 0.000
Ho 0.500 0.500 0.500
Tl 0.750 0.750 0.750
Rh 0.250 0.250 0.250



The following is a DFT calculation (GGA-PBE) of a geometry-optimized EuHoRu4 structure.

Summary:
DFT formation energy = -0.110 eV/atom
DFT total energy = -8.769 eV per atom
D(E_F) = 1.54 states/eV per atom
space-group type = No. 216
total magnetization = 5.299 μB/f.u.

abc: 5.363 5.363 5.363
angles: 60.00 60.00 60.00
Positions (direct):
Eu 0.000 0.000 0.000
Ho 0.250 0.250 0.250
Ru 0.125 0.625 0.625
Ru 0.625 0.125 0.625
Ru 0.625 0.625 0.125
Ru 0.625 0.625 0.625



The following is a DFT calculation (GGA-PBE) of a geometry-optimized EuHoRu structure.

Summary:
DFT formation energy = -0.143 eV/atom
DFT total energy = -8.185 eV per atom
D(E_F) = 2.54 states/eV per atom
space-group type = No. 107
total magnetization = 7.105 μB/f.u.

abc: 6.920 6.920 6.920
angles: 151.02 151.02 41.45
Positions (direct):
Eu 0.000 0.000 0.000
Ho 0.258 0.258 0.000
Ru 0.644 0.644 0.000



Question: Which formula does entry 1 have?
Answer: EuHo2Rh